(1)
DFT (SCAN) results for Co2OsBr2 at its PBEsol-relaxed geometry.

D(E_F) = 8.3 states/eV per cell
total magnetic moment = 14.303 Bohr magnetons per cell
volume = 167.0 Å³ per cell
formation energy from raw total energies = 1549 meV/atom

Lattice parameters (Å, degrees): 3.9492 3.9492 10.7108 90.00 90.00 90.00
Fractional positions:
1 Co 0.0000 0.0000 0.1015
2 Co 0.0000 0.0000 0.8985
3 Co 0.5000 0.5000 0.3985
4 Co 0.5000 0.5000 0.6015
5 Os 0.0000 0.0000 0.5000
6 Os 0.5000 0.5000 0.0000
7 Br 0.0000 0.5000 0.2500
8 Br 0.0000 0.5000 0.7500
9 Br 0.5000 0.0000 0.2500
10 Br 0.5000 0.0000 0.7500

(2)
DFT (SCAN) results for Co2OsBr at its PBEsol-relaxed geometry.

D(E_F) = 2.9 states/eV per cell
total magnetic moment = 2.818 Bohr magnetons per cell
volume = 55.2 Å³ per cell
energy above the lowest structure with this stoichiometry = 0.0 meV per atom
formation energy from raw total energies = 680 meV/atom

Lattice parameters (Å, degrees): 2.7015 2.7717 7.3696 90.00 90.00 90.00
Fractional positions:
1 Co 0.0000 0.0000 0.2192
2 Co 0.0000 0.0000 0.7808
3 Os 0.5000 0.5000 0.0000
4 Br 0.0000 0.5000 0.5000

(3)
DFT (SCAN) results for Co2OsBr at its PBEsol-relaxed geometry.

D(E_F) = 2.9 states/eV per cell
total magnetic moment = 1.106 Bohr magnetons per cell
volume = 54.1 Å³ per cell
energy above the lowest structure with this stoichiometry = 280.2 meV per atom
formation energy from raw total energies = 961 meV/atom

Lattice parameters (Å, degrees): 2.9854 2.9854 6.0708 90.00 90.00 90.00
Fractional positions:
1 Co 0.0000 0.0000 0.0000
2 Co 0.5000 0.5000 0.2130
3 Os 0.0000 0.0000 0.4100
4 Br 0.5000 0.5000 0.7578

(4)
DFT (SCAN) results for CoOsBr2 at its PBEsol-relaxed geometry.

D(E_F) = 3.5 states/eV per cell
total magnetic moment = 1.187 Bohr magnetons per cell
volume = 67.7 Å³ per cell
energy above the lowest structure with this stoichiometry = 0.0 meV per atom
formation energy from raw total energies = 1268 meV/atom

Lattice parameters (Å, degrees): 2.9090 4.1702 5.5819 90.00 90.00 90.00
Fractional positions:
1 Co 0.0000 0.0000 0.0000
2 Os 0.5000 0.0000 0.5000
3 Br 0.0000 0.5000 0.5000
4 Br 0.5000 0.5000 0.0000

(5)
DFT (SCAN) results for CoP2Br at its PBEsol-relaxed geometry.

D(E_F) = 10.2 states/eV per cell
total magnetic moment = 0.003 Bohr magnetons per cell
volume = 231.4 Å³ per cell
energy above the lowest structure with this stoichiometry = 1293.7 meV per atom
formation energy from raw total energies = 1260 meV/atom

Lattice parameters (Å, degrees): 6.1395 6.1395 6.1395 90.00 90.00 90.00
Fractional positions:
1 Co 0.0000 0.0000 0.0000
2 Co 0.0000 0.5000 0.5000
3 Co 0.5000 0.0000 0.5000
4 Co 0.5000 0.5000 0.0000
5 P 0.2500 0.2500 0.2500
6 P 0.2500 0.2500 0.7500
7 P 0.2500 0.7500 0.2500
8 P 0.2500 0.7500 0.7500
9 P 0.7500 0.2500 0.2500
10 P 0.7500 0.2500 0.7500
11 P 0.7500 0.7500 0.2500
12 P 0.7500 0.7500 0.7500
13 Br 0.0000 0.0000 0.5000
14 Br 0.0000 0.5000 0.0000
15 Br 0.5000 0.0000 0.0000
16 Br 0.5000 0.5000 0.5000

(6)
DFT (SCAN) results for CoPBr at its PBEsol-relaxed geometry.

D(E_F) = 3.2 states/eV per cell
total magnetic moment = 3.787 Bohr magnetons per cell
volume = 212.3 Å³ per cell
energy above the lowest structure with this stoichiometry = 0.0 meV per atom
formation energy from raw total energies = 297 meV/atom

Lattice parameters (Å, degrees): 3.5236 5.4135 11.1286 90.00 90.00 90.00
Fractional positions:
1 Co 0.0000 0.0000 0.0000
2 Co 0.0000 0.5000 0.5000
3 Co 0.5000 0.0000 0.5000
4 Co 0.5000 0.5000 0.0000
5 P 0.0000 0.0000 0.6018
6 P 0.0000 0.5000 0.1018
7 P 0.5000 0.0000 0.1018
8 P 0.5000 0.5000 0.6018
9 Br 0.0000 0.0000 0.3473
10 Br 0.0000 0.5000 0.8473
11 Br 0.5000 0.0000 0.8473
12 Br 0.5000 0.5000 0.3473

- Look up the volume of the fifth one.
  231.4 Å³ per cell